# 1
Compound: NiHg2PC
Source: Alexandria via LeMat-Bulk
Functional: PBE
Structure: relaxed

a = 4.9282 Å, b = 4.9282 Å, c = 3.6039 Å
α = 90.00°, β = 90.00°, γ = 90.00°
Closest atoms and distances in Å follow each position.
Space group P4/mmm (No. 123)
Symmetry-distinct sites (fractional):
Ni: 0.0000 0.0000 0.0000 (multiplicity 1)  8 Hg 3.05
Hg: 0.0000 0.5000 0.5000 (multiplicity 2)  2 C 2.46
P: 0.5000 0.5000 0.0000 (multiplicity 1)  2 C 1.80
C: 0.5000 0.5000 0.5000 (multiplicity 1)  2 P 1.80

## Properties
VASP energy: -2.904 eV per atom
DFT formation energy: 1.30 eV per atom

=====

# 2
Compound: BIrOs
Source: Alexandria via LeMat-Bulk
Functional: PBE
Structure: relaxed

a = 10.7964 Å, b = 2.8448 Å, c = 4.7139 Å
α = 90.00°, β = 90.00°, γ = 90.00°
Closest atoms and distances in Å follow each position.
Space group Pnma (No. 62)
Symmetry-distinct sites (fractional):
B: 0.1101 0.2500 0.1896 (multiplicity 4)  3 Os 2.14-2.17, 3 Ir 2.17-2.23
Ir: 0.2138 0.7500 0.4419 (multiplicity 4)  3 B 2.17-2.23
Os: 0.0407 0.2500 0.7632 (multiplicity 4)  3 B 2.14-2.17

## Properties
VASP energy: -8.957 eV per atom
DFT formation energy: -0.03 eV per atom

=====

# 3
Compound: SmSbF
Source: Alexandria via LeMat-Bulk
Functional: PBE
Structure: relaxed

a = 4.4170 Å, b = 6.0308 Å, c = 7.2311 Å
α = 102.24°, β = 90.15°, γ = 90.16°
Closest atoms and distances in Å follow each position.
Space group P-1 (No. 2)
Symmetry-distinct sites (fractional):
Sm: 0.0006 0.0427 0.2523 (multiplicity 2)  2 F 2.25-2.30
Sb: 0.5001 0.2654 0.0323 (multiplicity 2)  2 Sb 2.96-3.14, 4 Sm 3.18-3.31
F: 0.0074 0.7806 0.4415 (multiplicity 2)  2 Sm 2.25-2.30

## Properties
ΔE to the lowest computed polymorph: 0.123 eV/atom
VASP energy: -5.566 eV per atom
ΔE_f (raw): -193 kJ per mole of atoms

=====

# 4
Compound: CdAg4
Source: Alexandria via LeMat-Bulk
Functional: PBE
Structure: relaxed

a = 2.9872 Å, b = 2.9872 Å, c = 35.9572 Å
α = 90.00°, β = 90.00°, γ = 120.00°
Closest atoms and distances in Å follow each position.
Space group R-3m (No. 166, hexagonal axes)
Symmetry-distinct sites (fractional):
Cd: 0.0000 0.0000 0.0000 (multiplicity 3)  6 Cd 2.99, 6 Ag 3.00
Ag: 0.0000 0.0000 0.1994 (multiplicity 6)  12 Ag 2.92-2.99
Ag: 0.0000 0.0000 0.4017 (multiplicity 6)  9 Ag 2.92-2.99, 3 Cd 3.00

## Properties
ΔE to the lowest computed polymorph: 0.045 eV/atom
VASP energy: -2.446 eV per atom
DFT formation energy: 0.02 eV per atom

=====

# 5
Compound: MnSiHg2Ge
Source: Alexandria via LeMat-Bulk
Functional: PBE
Structure: relaxed

a = 5.1014 Å, b = 5.1014 Å, c = 4.4771 Å
α = 90.00°, β = 90.00°, γ = 90.00°
Closest atoms and distances in Å follow each position.
Space group P4/mmm (No. 123)
Symmetry-distinct sites (fractional):
Mn: 0.0000 0.0000 0.0000 (multiplicity 1)  2 Si 2.24
Si: 0.0000 0.0000 0.5000 (multiplicity 1)  2 Mn 2.24
Hg: 0.0000 0.5000 0.0000 (multiplicity 2)  2 Mn 2.55
Ge: 0.5000 0.5000 0.5000 (multiplicity 1)  8 Hg 3.39, 4 Si 3.61

## Properties
VASP energy: -3.331 eV per atom
ΔE_f (raw): 61 kJ per mole of atoms

=====

# 6
Compound: CaSmTm2Bi4
Source: Alexandria via LeMat-Bulk
Functional: PBE
Structure: relaxed

a = 7.8136 Å, b = 4.4795 Å, c = 7.8532 Å
α = 90.00°, β = 109.11°, γ = 90.00°
Closest atoms and distances in Å follow each position.
Space group P2/m (No. 10)
Symmetry-distinct sites (fractional):
Ca: 0.0000 0.0000 0.0000 (multiplicity 1)  6 Bi 3.24
Sm: 0.5000 0.5000 0.0000 (multiplicity 1)  6 Bi 3.23
Tm: 0.0000 0.5000 0.5000 (multiplicity 1)  6 Bi 3.15
Tm: 0.5000 0.0000 0.5000 (multiplicity 1)  6 Bi 3.14-3.15
Bi: 0.2476 0.0000 0.7404 (multiplicity 2)  3 Tm 3.15, 2 Sm 3.23, 1 Ca 3.24
Bi: 0.2552 0.5000 0.2614 (multiplicity 2)  3 Tm 3.14-3.15, 1 Sm 3.23, 2 Ca 3.24

## Properties
VASP energy: -4.684 eV per atom
DFT formation energy: -0.79 eV per atom